(1)
# LaY2Al2

A relaxed structure of LaY2Al2 (PBE-GGA, the Alexandria database).

## Properties
ρ (kg/m³): 4258
Calculated total energy (Ry/atom): -0.3895
Energy relative to the elements (meV per atom): -232
Offset from the most stable computed form (meV per atom): 72

```
data_LaY2Al2
_space_group_name_H-M_alt 'I 4/m m m'
_space_group_IT_number 139
_space_group_name_Hall '-I 4 2'
_cell_length_a 4.6778
_cell_length_b 4.6778
_cell_length_c 13.2112
_cell_angle_alpha 90.00
_cell_angle_beta 90.00
_cell_angle_gamma 90.00
loop_
_atom_site_label
_atom_site_fract_x
_atom_site_fract_y
_atom_site_fract_z
La1 0.0000 0.0000 0.0000
Y1 0.0000 0.5000 0.2500
Al1 0.0000 0.0000 0.4035
```

***

(2)
# CsNaSb

A relaxed structure of CsNaSb (PBE-GGA, the Alexandria database).

## Properties
ρ (kg/m³): 3985
Calculated total energy (Ry/atom): -0.1740
Offset from the most stable computed form (meV per atom): 122

```
data_CsNaSb
_space_group_name_H-M_alt 'P -6 m 2'
_space_group_IT_number 187
_space_group_name_Hall 'P -6 2'
_cell_length_a 5.8287
_cell_length_b 5.8287
_cell_length_c 3.9326
_cell_angle_alpha 90.00
_cell_angle_beta 90.00
_cell_angle_gamma 120.00
loop_
_atom_site_label
_atom_site_fract_x
_atom_site_fract_y
_atom_site_fract_z
Cs1 0.0000 0.0000 0.0000
Na1 0.3333 0.6667 0.5000
Sb1 0.6667 0.3333 0.5000
```

***

(3)
# CaCr2Cl

A relaxed structure of CaCr2Cl (PBE-GGA, the Alexandria database).

## Properties
ρ (kg/m³): 2940
Calculated total energy (Ry/atom): -0.3894
Offset from the most stable computed form (meV per atom): 626

```
data_CaCr2Cl
_space_group_name_H-M_alt 'C m m m'
_space_group_IT_number 65
_space_group_name_Hall '-C 2 2'
_cell_length_a 5.5922
_cell_length_b 10.5446
_cell_length_c 3.4391
_cell_angle_alpha 90.00
_cell_angle_beta 90.00
_cell_angle_gamma 90.00
loop_
_atom_site_label
_atom_site_fract_x
_atom_site_fract_y
_atom_site_fract_z
Ca1 0.0000 0.0000 0.0000
Cr1 0.2500 0.2500 0.5000
Cl1 0.0000 0.5000 0.0000
```

***

(4)
# Ni3PtCl

A relaxed structure of Ni3PtCl (PBE-GGA, the Alexandria database).

## Properties
ρ (kg/m³): 6630
Calculated total energy (Ry/atom): -0.2938
Offset from the most stable computed form (meV per atom): 512

```
data_Ni3PtCl
_space_group_name_H-M_alt 'P m -3 m'
_space_group_IT_number 221
_space_group_name_Hall '-P 4 2 3'
_cell_length_a 4.6698
_cell_length_b 4.6698
_cell_length_c 4.6698
_cell_angle_alpha 90.00
_cell_angle_beta 90.00
_cell_angle_gamma 90.00
loop_
_atom_site_label
_atom_site_fract_x
_atom_site_fract_y
_atom_site_fract_z
Ni1 0.0000 0.0000 0.5000
Pt1 0.0000 0.0000 0.0000
Cl1 0.5000 0.5000 0.5000
```

***

(5)
# SiBi2P

A relaxed structure of SiBi2P (PBE-GGA, the Alexandria database).

## Properties
ρ (kg/m³): 8373
Calculated total energy (Ry/atom): -0.3021
Offset from the most stable computed form (meV per atom): 33

```
data_SiBi2P
_space_group_name_H-M_alt 'F m -3 m'
_space_group_IT_number 225
_space_group_name_Hall '-F 4 2 3'
_cell_length_a 7.2331
_cell_length_b 7.2331
_cell_length_c 7.2331
_cell_angle_alpha 90.00
_cell_angle_beta 90.00
_cell_angle_gamma 90.00
loop_
_atom_site_label
_atom_site_fract_x
_atom_site_fract_y
_atom_site_fract_z
Si1 0.0000 0.0000 0.0000
Bi1 0.2500 0.2500 0.2500
P1 0.0000 0.0000 0.5000
```

***

(6)
# CsCdI2O

A relaxed structure of CsCdI2O (PBE-GGA, the Alexandria database).

## Properties
ρ (kg/m³): 4863
Calculated total energy (Ry/atom): -0.1903
Offset from the most stable computed form (meV per atom): 69

```
data_CsCdI2O
_space_group_name_H-M_alt 'P 4/m m m'
_space_group_IT_number 123
_space_group_name_Hall '-P 4 2'
_cell_length_a 6.5340
_cell_length_b 6.5340
_cell_length_c 4.1203
_cell_angle_alpha 90.00
_cell_angle_beta 90.00
_cell_angle_gamma 90.00
loop_
_atom_site_label
_atom_site_fract_x
_atom_site_fract_y
_atom_site_fract_z
Cs1 0.0000 0.0000 0.0000
Cd1 0.5000 0.5000 0.0000
I1 0.0000 0.5000 0.5000
O1 0.5000 0.5000 0.5000
```

***

(7)
# LiTaHRh2

A relaxed structure of LiTaHRh2 (PBE-GGA, the Alexandria database).

## Properties
ρ (kg/m³): 5414
Calculated total energy (Ry/atom): -0.3645
Offset from the most stable computed form (meV per atom): 1689

```
data_LiTaHRh2
_space_group_name_H-M_alt 'P 4/m m m'
_space_group_IT_number 123
_space_group_name_Hall '-P 4 2'
_cell_length_a 4.6658
_cell_length_b 4.6658
_cell_length_c 5.5609
_cell_angle_alpha 90.00
_cell_angle_beta 90.00
_cell_angle_gamma 90.00
loop_
_atom_site_label
_atom_site_fract_x
_atom_site_fract_y
_atom_site_fract_z
Li1 0.0000 0.0000 0.0000
Ta1 0.0000 0.0000 0.5000
H1 0.5000 0.5000 0.0000
Rh1 0.0000 0.5000 0.5000
```

***

(8)
# NaPdN3

A relaxed structure of NaPdN3 (PBE-GGA, the Alexandria database).

## Properties
ρ (kg/m³): 4549
Calculated total energy (Ry/atom): -0.3314

```
data_NaPdN3
_space_group_name_H-M_alt 'P m -3 m'
_space_group_IT_number 221
_space_group_name_Hall '-P 4 2 3'
_cell_length_a 3.9703
_cell_length_b 3.9703
_cell_length_c 3.9703
_cell_angle_alpha 90.00
_cell_angle_beta 90.00
_cell_angle_gamma 90.00
loop_
_atom_site_label
_atom_site_fract_x
_atom_site_fract_y
_atom_site_fract_z
Na1 0.0000 0.0000 0.0000
Pd1 0.5000 0.5000 0.5000
N1 0.0000 0.5000 0.5000
```

***

(9)
# Ba2YTc

A relaxed structure of Ba2YTc (PBE-GGA, the Alexandria database).

## Properties
ρ (kg/m³): 5993
Calculated total energy (Ry/atom): -0.3196
Energy relative to the elements (meV per atom): 820
Offset from the most stable computed form (meV per atom): 430

```
data_Ba2YTc
_space_group_name_H-M_alt 'P 4/m m m'
_space_group_IT_number 123
_space_group_name_Hall '-P 4 2'
_cell_length_a 4.7866
_cell_length_b 4.7866
_cell_length_c 5.5818
_cell_angle_alpha 90.00
_cell_angle_beta 90.00
_cell_angle_gamma 90.00
loop_
_atom_site_label
_atom_site_fract_x
_atom_site_fract_y
_atom_site_fract_z
Ba1 0.0000 0.5000 0.0000
Y1 0.0000 0.0000 0.5000
Tc1 0.5000 0.5000 0.5000
```

***

(10)
# PrY2Cu2Ge2

A relaxed structure of PrY2Cu2Ge2 (PBE-GGA, the Alexandria database).

## Properties
ρ (kg/m³): 6324
Calculated total energy (Ry/atom): -0.4058
Energy relative to the elements (meV per atom): -502

```
data_PrY2Cu2Ge2
_space_group_name_H-M_alt 'R -3 m'
_space_group_IT_number 166
_space_group_name_Hall '-R 3 2"'
_cell_length_a 4.3097
_cell_length_b 4.3097
_cell_length_c 28.9469
_cell_angle_alpha 90.00
_cell_angle_beta 90.00
_cell_angle_gamma 120.00
loop_
_atom_site_label
_atom_site_fract_x
_atom_site_fract_y
_atom_site_fract_z
Pr1 0.0000 0.0000 0.0000
Y1 0.0000 0.0000 0.1266
Cu1 0.0000 0.0000 0.4026
Ge1 0.0000 0.0000 0.2611
```

***

(11)
# PuGaFeNi

A relaxed structure of PuGaFeNi (PBE-GGA, the Alexandria database).

## Properties
ρ (kg/m³): 11365
Calculated total energy (Ry/atom): -0.5909
Energy relative to the elements (meV per atom): -139

```
data_PuGaFeNi
_space_group_name_H-M_alt 'F -4 3 m'
_space_group_IT_number 216
_space_group_name_Hall 'F -4 2 3'
_cell_length_a 6.3020
_cell_length_b 6.3020
_cell_length_c 6.3020
_cell_angle_alpha 90.00
_cell_angle_beta 90.00
_cell_angle_gamma 90.00
loop_
_atom_site_label
_atom_site_fract_x
_atom_site_fract_y
_atom_site_fract_z
Pu1 0.0000 0.0000 0.0000
Ga1 0.0000 0.0000 0.5000
Fe1 0.2500 0.2500 0.7500
Ni1 0.2500 0.2500 0.2500
```

***

(12)
# PmEu2Y

A relaxed structure of PmEu2Y (PBE-GGA, the Alexandria database).

## Properties
ρ (kg/m³): 6130
Calculated total energy (Ry/atom): -0.5727
Energy relative to the elements (meV per atom): 149
Offset from the most stable computed form (meV per atom): 43

```
data_PmEu2Y
_space_group_name_H-M_alt 'F m -3 m'
_space_group_IT_number 225
_space_group_name_Hall '-F 4 2 3'
_cell_length_a 8.3529
_cell_length_b 8.3529
_cell_length_c 8.3529
_cell_angle_alpha 90.00
_cell_angle_beta 90.00
_cell_angle_gamma 90.00
loop_
_atom_site_label
_atom_site_fract_x
_atom_site_fract_y
_atom_site_fract_z
Pm1 0.0000 0.0000 0.0000
Eu1 0.2500 0.2500 0.2500
Y1 0.0000 0.0000 0.5000
```

***

Question: The lowest calculated total energy belongs to which entry?
Answer: PuGaFeNi

***

Question: Among the records above, which one has the highest calculated total energy?
Answer: CsNaSb

***

Question: The highest calculated total energy belongs to which entry?
Answer: CsNaSb